<i>
{
  "formula": "Na3CdSb",
  "functional": "PBE",
  "state": "optimized geometry",
  "cell": [[5.545, 0.000, 0.000], [0.000, 5.545, 0.000], [0.000, 0.000, 5.545]],
  "species": ["Sb", "Na", "Na", "Na", "Cd"],
  "fractional_positions": [[0.500, 0.500, 0.500], [0.000, 0.500, 0.000], [0.000, 0.000, 0.500], [0.500, 0.000, 0.000], [0.000, 0.000, 0.000]],
  "dos_at_fermi_per_ev_atom": 0.242,
  "m_tot_mub_per_fu": 0.00
}

<ii>
{
  "formula": "Na3CdSb",
  "functional": "PBE",
  "state": "optimized geometry",
  "cell": [[7.688, -0.639, 0.101], [-4.331, 6.385, -0.101], [-3.470, -1.827, 6.645]],
  "species": ["Na", "Na", "Na", "Na", "Na", "Na", "Cd", "Cd", "Sb", "Sb"],
  "fractional_positions": [[0.039, 0.257, 0.726], [0.039, 0.813, 0.282], [0.531, 0.757, 0.718], [0.091, 0.279, 0.312], [0.531, 0.313, 0.274], [0.967, 0.779, 0.688], [0.528, 0.028, 0.000], [0.028, 0.528, 0.000], [0.586, 0.781, 0.305], [0.476, 0.281, 0.695]],
  "dos_at_fermi_per_ev_atom": 0.474,
  "m_tot_mub_per_fu": 0.00
}

Stability summary: most stable <ii>, least stable <i>.